(1)
# La7Pr12Al PBE optimized geometry
# - DFT formation energy (eV/atom) = 0.13
data_La7Pr12Al
_chemical_formula_sum 'La7 Pr12 Al1'
_cell_length_a 8.989
_cell_length_b 8.989
_cell_length_c 8.989
_cell_angle_alpha 89.31
_cell_angle_beta 89.31
_cell_angle_gamma 89.31
_symmetry_space_group_name_H-M 'P 1'
_symmetry_Int_Tables_number 1
_symmetry_space_group_name_Hall 'P 1'
loop_
_atom_site_label
_atom_site_fract_x
_atom_site_fract_y
_atom_site_fract_z
_atom_site_occupancy
La1 0.209 0.610 0.770 1
La2 0.390 0.230 0.791 1
La3 0.230 0.791 0.390 1
La4 0.500 0.500 0.500 1
La5 0.770 0.209 0.610 1
La6 0.610 0.770 0.209 1
La7 0.791 0.390 0.230 1
Pr1 0.010 0.323 0.897 1
Pr2 0.677 0.103 0.990 1
Pr3 0.461 0.125 0.343 1
Pr4 0.875 0.657 0.539 1
Pr5 0.103 0.990 0.677 1
Pr6 0.657 0.539 0.875 1
Pr7 0.343 0.461 0.125 1
Pr8 0.897 0.010 0.323 1
Pr9 0.125 0.343 0.461 1
Pr10 0.539 0.875 0.657 1
Pr11 0.323 0.897 0.010 1
Pr12 0.990 0.677 0.103 1
Al1 0.000 0.000 0.000 1


(2)
# SrCo2Pb PBE optimized geometry
# - DFT formation energy (eV/atom) = 0.17
data_SrCo2Pb
_chemical_formula_sum 'Sr1 Co2 Pb1'
_cell_length_a 6.035
_cell_length_b 6.035
_cell_length_c 6.035
_cell_angle_alpha 43.81
_cell_angle_beta 43.81
_cell_angle_gamma 43.81
_symmetry_space_group_name_H-M 'P 1'
_symmetry_Int_Tables_number 1
_symmetry_space_group_name_Hall 'P 1'
loop_
_atom_site_label
_atom_site_fract_x
_atom_site_fract_y
_atom_site_fract_z
_atom_site_occupancy
Co1 0.929 0.929 0.929 1
Co2 0.571 0.571 0.571 1
Pb1 0.250 0.250 0.250 1
Sr1 0.750 0.750 0.750 1


What is the formula in the first record?
La7Pr12Al